A plane-wave DFT calculation with PBE was carried out for crystalline Hf6Ni2N at its relaxed geometry.

The space group is C2/m (No. 12) and the conventional cell measures 10.896, 3.271 and 8.788 Å, with angles of 90.00, 91.97 and 90.00 degrees. The asymmetric unit holds Hf at (0.069, 0.000, 0.247), Hf at (0.131, 0.500, 0.943), Hf at (0.136, 0.500, 0.559), Ni at (0.240, 0.000, 0.752) and N at (0.000, 0.000, 0.000).

Its energy above the lowest structure with this stoichiometry is 0.0 meV/atom. For the raw formation energy, the calculation gives -670 meV/atom. For the volume, the calculation gives 17.39 Å³/atom.

A plane-wave DFT calculation with PBE was carried out for crystalline Ce2Hg17 at its relaxed geometry.

The space group is R-3m (No. 166, hexagonal axes) and the conventional cell measures 9.5017, 9.5017 and 19.7495 Å, with angles of 90.00, 90.00 and 120.00 degrees. The asymmetric unit holds Ce at (0.0000, 0.0000, 0.2178), Hg at (0.0000, 0.0000, 0.4008), Hg at (0.0000, 0.3038, 0.5000), Hg at (0.0000, 0.5000, 0.0000) and Hg at (0.0695, 0.5348, 0.6156).

The calculation puts the formation energy at -0.0646 eV per atom. For the volume, the calculation gives 27.09 Å³/atom.

A plane-wave DFT calculation with PBE was carried out for crystalline CuSiIN2 at its relaxed geometry.

The space group is P4/mmm (No. 123) and the conventional cell measures 3.538, 3.538 and 7.084 Å, with angles of 90.00, 90.00 and 90.00 degrees. The asymmetric unit holds Cu at (0.000, 0.000, 0.000), Si at (0.500, 0.500, 0.500), I at (0.500, 0.500, 0.000) and N at (0.000, 0.500, 0.500).

Its energy above the lowest structure with this stoichiometry is 0.0 meV/atom. For the raw formation energy, the calculation gives 632 meV/atom. For the volume, the calculation gives 17.74 Å³/atom.

A plane-wave DFT calculation with PBE was carried out for crystalline Ac2Y3Pb4 at its relaxed geometry.

The space group is Cmce (No. 64) and the conventional cell measures 7.325, 17.864 and 9.178 Å, with angles of 90.00, 90.00 and 90.00 degrees. The asymmetric unit holds Ac at (0.000, 0.111, 0.088), Y at (0.000, 0.000, 0.500), Y at (0.250, 0.208, 0.750), Pb at (0.000, 0.187, 0.448) and Pb at (0.250, 0.036, 0.750).

The calculation puts the formation energy at -0.5277 eV per atom. For the volume, the calculation gives 33.36 Å³/atom.

A plane-wave DFT calculation with PBE was carried out for crystalline Y3HfPd12 at its relaxed geometry.

The space group is P4/mmm (No. 123) and the conventional cell measures 4.102, 4.102 and 16.416 Å, with angles of 90.00, 90.00 and 90.00 degrees. The asymmetric unit holds Y at (0.000, 0.000, 0.000), Y at (0.000, 0.000, 0.253), Hf at (0.000, 0.000, 0.500), Pd at (0.000, 0.500, 0.127), Pd at (0.000, 0.500, 0.383), Pd at (0.500, 0.500, 0.000), Pd at (0.500, 0.500, 0.255) and Pd at (0.500, 0.500, 0.500).

The calculation puts the formation energy at -0.8636 eV per atom. For the volume, the calculation gives 17.26 Å³/atom.

A plane-wave DFT calculation with PBE was carried out for crystalline Rh2PbSe2 at its relaxed geometry.

The space group is I4/mmm (No. 139) and the conventional cell measures 4.699, 4.699 and 9.232 Å, with angles of 90.00, 90.00 and 90.00 degrees. The asymmetric unit holds Rh at (0.000, 0.000, 0.147), Pb at (0.000, 0.000, 0.500) and Se at (0.000, 0.500, 0.250).

Its energy above the lowest structure with this stoichiometry is 50.6 meV/atom. For the raw formation energy, the calculation gives -93 meV/atom. For the volume, the calculation gives 20.39 Å³/atom.

A plane-wave DFT calculation with PBE was carried out for crystalline Ce2CdGa3Au4 at its relaxed geometry.

The space group is P-4m2 (No. 115) and the conventional cell measures 4.388, 4.388 and 11.189 Å, with angles of 90.00, 90.00 and 90.00 degrees. The asymmetric unit holds Ce at (0.000, 0.500, 0.239), Cd at (0.000, 0.000, 0.500), Ga at (0.000, 0.500, 0.872), Ga at (0.500, 0.500, 0.500), Au at (0.000, 0.000, 0.000), Au at (0.000, 0.500, 0.649) and Au at (0.500, 0.500, 0.000).

The calculation puts the formation energy at -0.5288 eV per atom. For the volume, the calculation gives 21.54 Å³/atom.

A plane-wave DFT calculation with PBE was carried out for crystalline Ta4VFe at its relaxed geometry.

The space group is C2/m (No. 12) and the conventional cell measures 9.604, 4.409 and 5.684 Å, with angles of 90.00, 126.03 and 90.00 degrees. The asymmetric unit holds Ta at (0.161, 0.000, 0.004), Ta at (0.170, 0.000, 0.516), V at (0.000, 0.500, 0.500) and Fe at (0.000, 0.500, 0.000).

The calculation puts the formation energy at 0.0400 eV per atom. For the volume, the calculation gives 16.22 Å³/atom.